Entry 1:
Compound: Bi2MoS
Source: Alexandria via LeMat-Bulk
Functional: PBE
Structure: relaxed

```
data_Bi2MoS
_chemical_formula_sum 'Bi4 Mo2 S2'
_space_group_name_H-M_alt 'P 1'
_space_group_IT_number 1
_space_group_name_Hall 'P 1'
_cell_length_a 6.356
_cell_length_b 6.356
_cell_length_c 7.823
_cell_angle_alpha 66.03
_cell_angle_beta 66.03
_cell_angle_gamma 90.00
loop_
_atom_site_label
_atom_site_fract_x
_atom_site_fract_y
_atom_site_fract_z
S1 0.500 0.500 0.000
S2 0.250 0.750 0.500
Mo1 0.000 0.000 0.000
Mo2 0.750 0.250 0.500
Bi1 0.647 0.125 0.250
Bi2 0.103 0.625 0.250
Bi3 0.375 0.353 0.750
Bi4 0.875 0.897 0.750
```

Results
formation energy without anion corrections = 3.25 eV/f.u.
calculated total energy = -4.869 eV per atom
symmetry = I-42d (122)

Entry 2:
Compound: BiMoS2
Source: Alexandria via LeMat-Bulk
Functional: PBE
Structure: relaxed

```
data_BiMoS2
_chemical_formula_sum 'Bi2 Mo2 S4'
_space_group_name_H-M_alt 'P 1'
_space_group_IT_number 1
_space_group_name_Hall 'P 1'
_cell_length_a 6.266
_cell_length_b 6.266
_cell_length_c 6.816
_cell_angle_alpha 62.64
_cell_angle_beta 62.64
_cell_angle_gamma 90.00
loop_
_atom_site_label
_atom_site_fract_x
_atom_site_fract_y
_atom_site_fract_z
S1 0.543 0.125 0.250
S2 0.207 0.625 0.250
S3 0.375 0.457 0.750
S4 0.875 0.793 0.750
Mo1 0.500 0.500 0.000
Mo2 0.250 0.750 0.500
Bi1 0.000 0.000 0.000
Bi2 0.750 0.250 0.500
```

Results
formation energy without anion corrections = 0.30 eV/f.u.
calculated total energy = -5.668 eV per atom
symmetry = I-42d (122)

Entry 3:
Compound: BiMoS
Source: Alexandria via LeMat-Bulk
Functional: PBE
Structure: relaxed

```
data_BiMoS
_chemical_formula_sum 'Bi2 Mo2 S2'
_space_group_name_H-M_alt 'P 1'
_space_group_IT_number 1
_space_group_name_Hall 'P 1'
_cell_length_a 3.259
_cell_length_b 6.822
_cell_length_c 7.837
_cell_angle_alpha 61.18
_cell_angle_beta 102.06
_cell_angle_gamma 76.33
loop_
_atom_site_label
_atom_site_fract_x
_atom_site_fract_y
_atom_site_fract_z
Mo1 0.415 0.824 0.653
Mo2 0.585 0.176 0.347
S1 0.852 0.760 0.465
S2 0.148 0.240 0.535
Bi1 0.855 0.274 0.979
Bi2 0.145 0.726 0.021
```

Results
formation energy without anion corrections = -1.11 eV/f.u.
calculated total energy = -6.650 eV per atom
symmetry = P-1 (2)

Number 3 is which compound? BiMoS

Among the records above, which one has the highest calculated total energy? Bi2MoS

The lowest formation energy without anion corrections belongs to which entry? BiMoS